# SbMo2Ir

A relaxed SbMo2Ir crystal (PBE-GGA, Alexandria via LeMat-Bulk).

a = 4.2483 Å, b = 2.8980 Å, c = 5.6458 Å
α = 75.17°, β = 90.00°, γ = 90.00°
Last column: nearest neighbours and their distance in Å.
Sites, in units of the cell vectors:
Ir1 0.5000 0.5495 0.7765  5 Mo 2.64-2.80, 2 Sb 2.66, 2 Ir 2.90
Mo1 0.0000 0.9488 0.9786  3 Sb 2.76-3.06, 4 Ir 2.80, 6 Mo 2.90-3.00
Mo2 0.5000 0.3066 0.2606  1 Ir 2.64, 4 Sb 2.85, 2 Mo 2.90
Sb1 0.0000 0.6951 0.4843  2 Ir 2.66, 5 Mo 2.76-2.85, 2 Sb 2.90

**ΔE_f (raw)**: 0.165 eV/atom
**Magnetization**: 0.000 μB/atom
**N(E_F)**: 1.026 states/eV per atom

***

# Ca4Al3Pd

A relaxed Ca4Al3Pd crystal (PBE-GGA, Alexandria via LeMat-Bulk).

a = 4.2382 Å, b = 4.4404 Å, c = 11.4806 Å
α = 90.00°, β = 90.00°, γ = 90.00°
Last column: nearest neighbours and their distance in Å.
Sites, in units of the cell vectors:
Ca1 0.5000 0.5000 0.3465  6 Al 3.23-3.28, 1 Pd 3.35
Ca2 0.0000 0.5000 0.8609  2 Pd 3.07, 5 Al 3.22-3.40
Ca3 0.0000 0.0000 0.1449  3 Al 3.13-3.31, 4 Pd 3.24
Ca4 0.5000 0.0000 0.6497  7 Al 3.22-3.39
Al1 0.0000 0.5000 0.5651  2 Al 2.68
Al2 0.0000 0.0000 0.4336  2 Al 2.68
Al3 0.5000 0.0000 0.9445  2 Pd 2.55
Pd1 0.5000 0.5000 0.0547  2 Al 2.55

**Energy of formation from the pure elements**: -35 kJ/mol of atoms
**Magnetization**: 0.000 μB/atom
**N(E_F)**: 0.493 states/eV per atom

***

# ZnNiBr

A relaxed ZnNiBr crystal (PBE-GGA, Alexandria via LeMat-Bulk).

a = 3.8455 Å, b = 10.8815 Å, c = 6.2223 Å
α = 90.00°, β = 105.26°, γ = 90.00°
Last column: nearest neighbours and their distance in Å.
Sites, in units of the cell vectors:
Zn1 0.6781 0.3527 0.3204  3 Ni 2.38-2.43, 1 Br 2.52
Zn2 0.3219 0.3527 0.6796  3 Ni 2.38-2.43, 1 Br 2.52
Zn3 0.6781 0.8527 0.8204  3 Ni 2.38-2.43, 1 Br 2.52
Zn4 0.3219 0.8527 0.1796  3 Ni 2.38-2.43, 1 Br 2.52
Ni1 0.8024 0.7183 0.1342  1 Br 2.36, 3 Zn 2.38-2.43, 2 Ni 2.48-2.54
Ni2 0.1976 0.7183 0.8658  1 Br 2.36, 3 Zn 2.38-2.43, 2 Ni 2.48-2.54
Ni3 0.8024 0.2183 0.6342  1 Br 2.36, 3 Zn 2.38-2.43, 2 Ni 2.48-2.54
Ni4 0.1976 0.2183 0.3658  1 Br 2.36, 3 Zn 2.38-2.43, 2 Ni 2.48-2.54
Br1 0.0000 0.1407 0.0000  2 Ni 2.36
Br2 0.0000 0.6407 0.5000  2 Ni 2.36
Br3 0.5000 0.0009 0.5000  2 Zn 2.52, 2 Ni 2.67
Br4 0.5000 0.5009 0.0000  2 Zn 2.52, 2 Ni 2.67

**ΔE_f (raw)**: -0.083 eV/atom
**Excess energy over the best structure of this formula in the dataset**: 155.4 meV per atom
**Magnetization**: 0.081 μB/atom
**N(E_F)**: 0.776 states/eV per atom

***

# Cs2Ce2PaS6

A relaxed Cs2Ce2PaS6 crystal (PBE-GGA, Alexandria via LeMat-Bulk).

a = 7.2005 Å, b = 7.2005 Å, c = 8.5968 Å
α = 98.22°, β = 98.22°, γ = 119.71°
Last column: nearest neighbours and their distance in Å.
Sites, in units of the cell vectors:
Cs1 0.8307 0.1693 0.0000  6 S 3.55-3.61
Cs2 0.1693 0.8307 0.0000  6 S 3.55-3.61
Ce1 0.3342 0.6658 0.5000  6 S 2.85-2.87
Ce2 0.6658 0.3342 0.5000  6 S 2.85-2.87
Pa1 0.0000 0.0000 0.5000  6 S 2.72-2.74
S1 0.7437 0.7437 0.6788  1 Pa 2.72, 2 Ce 2.86
S2 0.0587 0.3802 0.6782  1 Pa 2.74, 2 Ce 2.85-2.87
S3 0.2563 0.2563 0.3212  1 Pa 2.72, 2 Ce 2.86
S4 0.3802 0.0587 0.6782  1 Pa 2.74, 2 Ce 2.85-2.87
S5 0.9413 0.6198 0.3218  1 Pa 2.74, 2 Ce 2.85-2.87
S6 0.6198 0.9413 0.3218  1 Pa 2.74, 2 Ce 2.85-2.87

**ΔE_f (raw)**: -1.745 eV/atom
**Magnetization**: 0.274 μB/atom
**N(E_F)**: 1.654 states/eV per atom

***

# La8As

A relaxed La8As crystal (PBE-GGA, Alexandria via LeMat-Bulk).

a = 8.1299 Å, b = 8.1299 Å, c = 8.1299 Å
α = 95.40°, β = 95.40°, γ = 144.28°
Last column: nearest neighbours and their distance in Å.
Sites, in units of the cell vectors:
La1 0.6530 0.3470 0.0000  6 La 3.35-3.48, 2 As 3.44
La2 0.3470 0.6530 0.0000  6 La 3.35-3.48, 2 As 3.44
La3 0.0000 0.6861 0.6861  1 As 3.44, 10 La 3.48-3.81
La4 0.3470 0.3470 0.6939  6 La 3.35-3.48, 2 As 3.44
La5 0.6861 0.0000 0.6861  1 As 3.44, 10 La 3.48-3.81
La6 0.6530 0.6530 0.3061  6 La 3.35-3.48, 2 As 3.44
La7 0.0000 0.3139 0.3139  1 As 3.44, 10 La 3.48-3.81
La8 0.3139 0.0000 0.3139  1 As 3.44, 10 La 3.48-3.81
As1 0.0000 0.0000 0.0000  12 La 3.44

**Energy of formation from the pure elements**: -17 kJ/mol of atoms
**Magnetization**: 0.000 μB/atom
**N(E_F)**: 1.870 states/eV per atom

***

# Bi3H12Pt5

A relaxed Bi3H12Pt5 crystal (PBE-GGA, Alexandria via LeMat-Bulk).

a = 10.6430 Å, b = 10.6430 Å, c = 10.6430 Å
α = 109.47°, β = 109.47°, γ = 109.47°
Last column: nearest neighbours and their distance in Å.
Sites, in units of the cell vectors:
Bi1 0.7500 0.3750 0.1250  8 H 2.66-2.77
Bi2 0.8750 0.7500 0.1250  8 H 2.66-2.77
Bi3 0.3750 0.7500 0.6250  8 H 2.66-2.77
Bi4 0.2500 0.1250 0.3750  8 H 2.66-2.77
Bi5 0.8750 0.1250 0.2500  8 H 2.66-2.77
Bi6 0.3750 0.6250 0.2500  8 H 2.66-2.77
Bi7 0.6250 0.3750 0.7500  8 H 2.66-2.77
Bi8 0.1250 0.8750 0.7500  8 H 2.66-2.77
Bi9 0.7500 0.8750 0.6250  8 H 2.66-2.77
Bi10 0.6250 0.2500 0.3750  8 H 2.66-2.77
Bi11 0.1250 0.2500 0.8750  8 H 2.66-2.77
Bi12 0.2500 0.6250 0.8750  8 H 2.66-2.77
Pt1 0.1250 0.3750 0.2500  4 H 1.72
Pt2 0.0000 0.5000 0.0000  6 H 1.81
Pt3 0.0000 0.0000 0.0000  6 H 1.81
Pt4 0.3750 0.2500 0.1250  4 H 1.72
Pt5 0.5000 0.0000 0.5000  6 H 1.81
Pt6 0.5000 0.5000 0.0000  6 H 1.81
Pt7 0.1250 0.7500 0.3750  4 H 1.72
Pt8 0.7500 0.1250 0.8750  4 H 1.72
Pt9 0.7500 0.6250 0.3750  4 H 1.72
Pt10 0.3750 0.1250 0.7500  4 H 1.72
Pt11 0.6250 0.8750 0.2500  4 H 1.72
Pt12 0.5000 0.5000 0.5000  6 H 1.81
Pt13 0.5000 0.0000 0.0000  6 H 1.81
Pt14 0.0000 0.0000 0.5000  6 H 1.81
Pt15 0.2500 0.3750 0.6250  4 H 1.72
Pt16 0.2500 0.8750 0.1250  4 H 1.72
Pt17 0.0000 0.5000 0.5000  6 H 1.81
Pt18 0.8750 0.2500 0.6250  4 H 1.72
Pt19 0.6250 0.7500 0.8750  4 H 1.72
Pt20 0.8750 0.6250 0.7500  4 H 1.72
H1 0.6649 0.0789 0.9767  2 Pt 1.72-1.81
H2 0.3118 0.4767 0.3978  2 Pt 1.72-1.81
H3 0.0233 0.4211 0.3351  2 Pt 1.72-1.81
H4 0.4767 0.1649 0.0789  2 Pt 1.72-1.81
H5 0.5860 0.6649 0.6882  2 Pt 1.72-1.81
H6 0.0233 0.6022 0.1882  2 Pt 1.72-1.81
H7 0.3118 0.8351 0.4140  2 Pt 1.72-1.81
H8 0.1022 0.9140 0.0789  2 Pt 1.72-1.81
H9 0.6022 0.0233 0.6882  2 Pt 1.72-1.81
H10 0.6649 0.5860 0.1882  2 Pt 1.72-1.81
H11 0.8351 0.5233 0.4211  2 Pt 1.72-1.81
H12 0.8118 0.8978 0.9767  2 Pt 1.72-1.81
H13 0.0789 0.6649 0.4767  2 Pt 1.72-1.81
H14 0.4211 0.3978 0.0860  2 Pt 1.72-1.81
H15 0.0860 0.8978 0.4211  2 Pt 1.72-1.81
H16 0.4140 0.0789 0.6022  2 Pt 1.72-1.81
H17 0.0860 0.1882 0.1649  2 Pt 1.72-1.81
H18 0.5233 0.6882 0.1022  2 Pt 1.72-1.81
H19 0.8118 0.9140 0.3351  2 Pt 1.72-1.81
H20 0.0789 0.4140 0.1022  2 Pt 1.72-1.81
H21 0.4211 0.0233 0.8351  2 Pt 1.72-1.81
H22 0.6022 0.5789 0.4140  2 Pt 1.72-1.81
H23 0.8978 0.8118 0.4767  2 Pt 1.72-1.81
H24 0.8351 0.3118 0.9140  2 Pt 1.72-1.81
H25 0.3978 0.4211 0.5860  2 Pt 1.72-1.81
H26 0.1022 0.1882 0.5233  2 Pt 1.72-1.81
H27 0.1649 0.6882 0.0860  2 Pt 1.72-1.81
H28 0.1882 0.0860 0.6649  2 Pt 1.72-1.81
H29 0.5789 0.9767 0.1649  2 Pt 1.72-1.81
H30 0.9211 0.5860 0.8978  2 Pt 1.72-1.81
H31 0.4767 0.3118 0.8978  2 Pt 1.72-1.81
H32 0.5860 0.9211 0.3978  2 Pt 1.72-1.81
H33 0.9140 0.8118 0.8351  2 Pt 1.72-1.81
H34 0.9140 0.1022 0.5789  2 Pt 1.72-1.81
H35 0.9211 0.3351 0.5233  2 Pt 1.72-1.81
H36 0.1882 0.1022 0.0233  2 Pt 1.72-1.81
H37 0.5789 0.6022 0.9140  2 Pt 1.72-1.81
H38 0.3978 0.9767 0.3118  2 Pt 1.72-1.81
H39 0.3351 0.4140 0.8118  2 Pt 1.72-1.81
H40 0.1649 0.4767 0.5789  2 Pt 1.72-1.81
H41 0.8978 0.0860 0.9211  2 Pt 1.72-1.81
H42 0.6882 0.1649 0.5860  2 Pt 1.72-1.81
H43 0.5233 0.8351 0.9211  2 Pt 1.72-1.81
H44 0.9767 0.3978 0.8118  2 Pt 1.72-1.81
H45 0.4140 0.3351 0.3118  2 Pt 1.72-1.81
H46 0.9767 0.5789 0.6649  2 Pt 1.72-1.81
H47 0.6882 0.5233 0.6022  2 Pt 1.72-1.81
H48 0.3351 0.9211 0.0233  2 Pt 1.72-1.81

**E_tot**: -3.91 eV per atom
**Magnetization**: 0.000 μB/atom
**N(E_F)**: 0.312 states/eV per atom

***

# SrY2Tm

A relaxed SrY2Tm crystal (PBE-GGA, Alexandria via LeMat-Bulk).

a = 3.6755 Å, b = 3.6755 Å, c = 10.5577 Å
α = 90.00°, β = 90.00°, γ = 90.00°
Last column: nearest neighbours and their distance in Å.
Sites, in units of the cell vectors:
Y1 0.0000 0.0000 0.7814  4 Tm 3.48, 4 Y 3.68
Y2 0.0000 0.0000 0.2186  4 Tm 3.48, 4 Y 3.68
Sr1 0.5000 0.5000 0.5000  4 Sr 3.68, 8 Y 3.95
Tm1 0.5000 0.5000 0.0000  8 Y 3.48, 4 Tm 3.68

**Excess energy over the best structure of this formula in the dataset**: 0.0 meV per atom
**Energy of formation from the pure elements**: 12 kJ/mol of atoms
**Magnetization**: 0.000 μB/atom
**N(E_F)**: 1.492 states/eV per atom

***

Question: Look up the N(E_F) of the third one.
Answer: 0.776 states/eV per atom

***

Question: Which value of magnetization does entry 6 give?
Answer: 0.000 μB/atom